A relaxed Rb5HoBr8 crystal. Source: the Alexandria database, functional PBE-GGA.

The value obtained for the size of the total moment is 0.0 μB per cell. The density of states at the Fermi level comes out at 0.000 states/eV per atom. For the formation energy from raw total energies, the calculation gives -2342.3 kJ/mol of formula units. The calculation puts the raw total energy at -94.2 eV per cell. As for the crystal system: tetragonal.

Structure (CIF):
```
data_Rb5HoBr8
_chemical_formula_sum 'Rb10 Ho2 Br16'
_cell_length_a 10.047
_cell_length_b 10.047
_cell_length_c 10.187
_cell_angle_alpha 90.00
_cell_angle_beta 90.00
_cell_angle_gamma 90.00
_symmetry_space_group_name_H-M 'I -4'
_symmetry_Int_Tables_number 82
loop_
_symmetry_equiv_pos_as_xyz
'x,y,z'
'y,-x,-z'
'-x,-y,z'
'-y,x,-z'
'x+1/2,y+1/2,z+1/2'
'y+1/2,-x+1/2,-z+1/2'
'-x+1/2,-y+1/2,z+1/2'
'-y+1/2,x+1/2,-z+1/2'
loop_
_atom_site_label
_atom_site_type_symbol
_atom_site_fract_x
_atom_site_fract_y
_atom_site_fract_z
Rb1 Rb 0.000 0.000 0.000
Rb2 Rb 0.124 0.744 0.360
Ho1 Ho 0.000 0.500 0.750
Br1 Br 0.066 0.666 0.021
Br2 Br 0.066 0.769 0.687
```